Entry i
Tl2Os: optimized geometry, PBE-GGA.

* DOS(E_F): 2.7 states/eV/f.u.
* total magnetic moment: 0.00 μB per formula unit
* theoretical density: 14.85 g/cm3
* symmetry: I4/mmm, No. 139

abc: 7.060 7.060 7.060
angles: 154.11 154.11 36.94
Sites, in units of the cell vectors:
Os 0.000 0.000 0.000
Tl 0.641 0.641 0.000
Tl 0.359 0.359 0.000

=====

Entry ii
Tl2Os: optimized geometry, PBE-GGA.

* DOS(E_F): 1.9 states/eV/f.u.
* total magnetic moment: 0.74 μB per formula unit
* theoretical density: 12.63 g/cm3
* symmetry: P4_2/mnm, No. 136

abc: 3.057 7.177 7.178
angles: 90.00 90.00 90.00
Sites, in units of the cell vectors:
Tl 0.500 0.232 0.232
Tl 0.000 0.732 0.268
Tl 0.000 0.268 0.732
Tl 0.500 0.768 0.768
Os 0.000 0.000 0.000
Os 0.500 0.500 0.500

=====

The least stable of them is entry i.